Computed, not measured: a geometry-optimized K2LaMn structure at the PBE level of DFT.

Cell: 4.8731 4.8731 7.0280 Å, 90.00 90.00 90.00°
Site moments in Bohr magnetons follow the coordinates.
Fractional positions:
La (0.5000, 0.5000, 0.2500)  -0.48
K (0.0000, 0.0000, 0.9742)  -0.02
K (0.0000, 0.0000, 0.5258)  -0.02
Mn (0.5000, 0.5000, 0.7500)  4.14

Values from the calculation:
The polymorph energy (0 for the lowest one) is 45.33 kJ per mole of atoms. The total DFT energy (no corrections) is -3.165 eV per atom. As for the formation energy from the elements: 0.908 eV/atom.

=====

Computed, not measured: a geometry-optimized SmGdMgSc structure at the PBE level of DFT.

Cell: 5.4300 5.4300 5.4300 Å, 60.00 60.00 60.00°
Site moments in Bohr magnetons follow the coordinates.
Fractional positions:
Mg (0.5000, 0.5000, 0.5000)  -0.01
Gd (0.7500, 0.7500, 0.7500)  7.12
Sc (0.0000, 0.0000, 0.0000)  0.02
Sm (0.2500, 0.2500, 0.2500)  -0.02

Values from the calculation:
The total DFT energy (no corrections) is -6.664 eV per atom. As for the formation energy from the elements: 0.017 eV/atom.

=====

Computed, not measured: a geometry-optimized Ce2In3Sn structure at the PBE level of DFT.

Cell: 5.1264 3.5418 8.8681 Å, 90.00 90.00 90.00°
Site moments in Bohr magnetons follow the coordinates.
Fractional positions:
In (0.5000, 0.5000, 0.3293)  -0.01
In (0.0000, 0.5000, 0.1686)  -0.01
In (0.0000, 0.5000, 0.8375)  0.00
Ce (0.5000, 0.0000, 0.9966)  0.86
Ce (0.0000, 0.0000, 0.5032)  0.87
Sn (0.5000, 0.5000, 0.6646)  0.00

Values from the calculation:
The total DFT energy (no corrections) is -4.392 eV per atom. As for the formation energy from the elements: -0.378 eV/atom.

=====

Computed, not measured: a geometry-optimized La2TbPmNd6 structure at the PBE level of DFT.

Cell: 10.1742 8.9472 8.9472 Å, 117.85 95.27 95.27°
Fractional positions:
La (0.9592, 0.7119, 0.8081)
La (0.5408, 0.1919, 0.2881)
La (0.0408, 0.2881, 0.1919)
La (0.4592, 0.8081, 0.7119)
Nd (0.3794, 0.5033, 0.2985)
Nd (0.6206, 0.4967, 0.7015)
Nd (0.1206, 0.7015, 0.4967)
Nd (0.8794, 0.2985, 0.5033)
Nd (0.1888, 0.5789, 0.0181)
Nd (0.5556, 0.7390, 0.1196)
Nd (0.9444, 0.8804, 0.2610)
Nd (0.0556, 0.1196, 0.7390)
Nd (0.3112, 0.9819, 0.4211)
Nd (0.6888, 0.0181, 0.5789)
Nd (0.8112, 0.4211, 0.9819)
Nd (0.4444, 0.2610, 0.8804)
Tb (0.2500, 0.4052, 0.5948)
Tb (0.7500, 0.5948, 0.4052)
Pm (0.7500, 0.0117, 0.9883)
Pm (0.2500, 0.9883, 0.0117)

Values from the calculation:
The total DFT energy (no corrections) is -4.675 eV per atom. As for the formation energy from the elements: 0.109 eV/atom.

=====

Computed, not measured: a geometry-optimized CdHg2Ge2 structure at the PBE level of DFT.

Cell: 8.1768 8.1768 3.5543 Å, 90.00 90.00 90.00°
Fractional positions:
Ge (0.8827, 0.3827, 0.5000)
Ge (0.6173, 0.8827, 0.5000)
Ge (0.3827, 0.1173, 0.5000)
Ge (0.1173, 0.6173, 0.5000)
Hg (0.1795, 0.3205, 0.0000)
Hg (0.6795, 0.1795, 0.0000)
Hg (0.3205, 0.8205, 0.0000)
Hg (0.8205, 0.6795, 0.0000)
Cd (0.0000, 0.0000, 0.0000)
Cd (0.5000, 0.5000, 0.0000)

Values from the calculation:
The polymorph energy (0 for the lowest one) is 6.79 kJ per mole of atoms. The total DFT energy (no corrections) is -1.871 eV per atom. As for the formation energy from the elements: 0.280 eV/atom.

=====

Computed, not measured: a geometry-optimized Er2PuRh2 structure at the PBE level of DFT.

Cell: 4.2129 5.5893 11.1598 Å, 113.44 90.00 90.00°
Site moments in Bohr magnetons follow the coordinates.
Fractional positions:
Pu (0.2500, 0.8115, 0.2108)  5.11
Pu (0.7500, 0.1885, 0.7892)  5.11
Rh (0.2500, 0.3084, 0.9640)  -0.16
Rh (0.7500, 0.1162, 0.3557)  -0.11
Rh (0.2500, 0.8838, 0.6443)  -0.11
Rh (0.7500, 0.6916, 0.0360)  -0.16
Er (0.7500, 0.7135, 0.4627)  0.06
Er (0.7500, 0.2341, 0.1211)  0.10
Er (0.2500, 0.7659, 0.8789)  0.10
Er (0.2500, 0.2865, 0.5373)  0.06

Values from the calculation:
The total DFT energy (no corrections) is -8.207 eV per atom. As for the formation energy from the elements: -0.575 eV/atom.

=====

Computed, not measured: a geometry-optimized Er3HgRh structure at the PBE level of DFT.

Cell: 4.5552 6.8024 8.3947 Å, 90.00 90.00 90.00°
Fractional positions:
Er (0.7500, 0.4990, 0.6579)
Er (0.2500, 0.9990, 0.3421)
Er (0.7500, 0.0010, 0.6579)
Er (0.2500, 0.5010, 0.3421)
Er (0.2500, 0.2500, 0.9382)
Er (0.7500, 0.7500, 0.0618)
Hg (0.2500, 0.7500, 0.8235)
Hg (0.7500, 0.2500, 0.1765)
Rh (0.7500, 0.7500, 0.3899)
Rh (0.2500, 0.2500, 0.6101)

Values from the calculation:
The polymorph energy (0 for the lowest one) is 0.48 kJ per mole of atoms. The total DFT energy (no corrections) is -4.809 eV per atom. As for the formation energy from the elements: -0.541 eV/atom.

=====

Computed, not measured: a geometry-optimized InReP structure at the PBE level of DFT.

Cell: 8.2034 7.9862 2.9166 Å, 83.85 75.45 20.70°
Fractional positions:
Re (0.6860, 0.6860, 0.3140)
P (0.2930, 0.2930, 0.7070)
In (0.0209, 0.0209, 0.9791)

Values from the calculation:
The polymorph energy (0 for the lowest one) is 36.33 kJ per mole of atoms. The total DFT energy (no corrections) is -6.440 eV per atom. As for the formation energy from the elements: 0.425 eV/atom.

=====

Computed, not measured: a geometry-optimized Ba2AlTc structure at the PBE level of DFT.

Cell: 3.6393 3.6393 9.5212 Å, 90.00 90.00 90.00°
Fractional positions:
Al (0.5000, 0.5000, 0.6605)
Tc (0.0000, 0.0000, 0.5978)
Ba (0.5000, 0.5000, 0.3355)
Ba (0.0000, 0.0000, 0.9063)

Values from the calculation:
The total DFT energy (no corrections) is -4.295 eV per atom. As for the formation energy from the elements: 0.194 eV/atom.

=====

Computed, not measured: a geometry-optimized LiY2Tc structure at the PBE level of DFT.

Cell: 6.3413 6.3413 6.3413 Å, 60.66 152.35 127.17°
Fractional positions:
Y (0.0000, 0.7418, 0.7418)
Y (0.0000, 0.2582, 0.2582)
Tc (0.0000, 0.5000, 0.5000)
Li (0.0000, 0.0000, 0.0000)

Values from the calculation:
The total DFT energy (no corrections) is -5.515 eV per atom. As for the formation energy from the elements: 0.787 eV/atom.